Compound: KTl
Source: Alexandria
Functional: SCAN
Structure: PBEsol geometry

Calculated values
Crystal system = orthorhombic

Cell lengths 7.8708, 10.7800, 10.7800 Å; angles 91.09, 90.00, 90.00 degrees
With the nearest neighbours (Å) after each atom.
Fractional coordinates of all 24 atoms:
1 K 0.5712 0.2998 0.2998  6 Tl 3.58-3.97
2 Tl 0.5684 0.7783 0.0075  3 Tl 3.05-3.41
3 K 0.2500 0.0279 0.5279  4 Tl 3.61-3.69, 4 K 4.02-4.03
4 K 0.7500 0.9721 0.4721  4 Tl 3.61-3.69, 4 K 4.02-4.03
5 Tl 0.4316 0.9925 0.2217  3 Tl 3.05-3.41
6 Tl 0.4316 0.2217 0.9925  3 Tl 3.05-3.41
7 Tl 0.5684 0.0075 0.7783  3 Tl 3.05-3.41
8 K 0.9288 0.7998 0.7998  6 Tl 3.58-3.97
9 K 0.0712 0.2002 0.2002  6 Tl 3.58-3.97
10 Tl 0.7795 0.5395 0.5395  4 Tl 3.05-3.07
11 K 0.7500 0.4721 0.9721  4 Tl 3.61-3.69, 4 K 4.02-4.03
12 K 0.5000 0.3199 0.6801  6 Tl 3.59-3.89
13 Tl 0.2205 0.4605 0.4605  4 Tl 3.05-3.07
14 Tl 0.2795 0.9605 0.9605  4 Tl 3.05-3.07
15 K 0.2500 0.5279 0.0279  4 Tl 3.61-3.69, 4 K 4.02-4.03
16 K 0.5000 0.6801 0.3199  6 Tl 3.59-3.89
17 K 0.0000 0.1801 0.8199  6 Tl 3.59-3.89
18 K 0.0000 0.8199 0.1801  6 Tl 3.59-3.89
19 Tl 0.7205 0.0395 0.0395  4 Tl 3.05-3.07
20 Tl 0.0684 0.4925 0.7217  3 Tl 3.05-3.41
21 Tl 0.0684 0.7217 0.4925  3 Tl 3.05-3.41
22 K 0.4288 0.7002 0.7002  6 Tl 3.58-3.97
23 Tl 0.9316 0.2783 0.5075  3 Tl 3.05-3.41
24 Tl 0.9316 0.5075 0.2783  3 Tl 3.05-3.41

=====

Compound: KTl
Source: Alexandria
Functional: SCAN
Structure: PBEsol geometry

Calculated values
Crystal system = orthorhombic

Cell lengths 3.7599, 8.2564, 8.8781 Å; angles 117.71, 102.23, 90.00 degrees
With the nearest neighbours (Å) after each atom.
Fractional coordinates of all 6 atoms:
1 K 0.0000 0.3230 0.0000  5 Tl 3.59-3.61, 2 K 3.76
2 Tl 0.3926 0.8998 0.7852  3 Tl 3.23-3.28, 5 K 3.51-3.61
3 K 0.2968 0.4170 0.5936  5 Tl 3.51-3.80, 2 K 3.76
4 Tl 0.0000 0.7578 0.0000  4 Tl 3.23, 1 K 3.59
5 K 0.7032 0.8234 0.4064  5 Tl 3.51-3.80, 2 K 3.76
6 Tl 0.6074 0.1146 0.2148  3 Tl 3.23-3.28, 5 K 3.51-3.61

=====

Record order is preserved below.
Spin magnetization: 0.0, 0.0 μB/f.u.
Record order is preserved below.
E_form: -0.24, -0.15 eV/atom
Record order is preserved below.
E: -973.9, -242.9 eV for the cell shown